(1)
# Tb3HoPt3 PBE optimized geometry
data_Tb3HoPt3
_space_group_name_H-M_alt 'C 1 2/m 1'
_space_group_IT_number 12
_cell_length_a 9.208
_cell_length_b 10.478
_cell_length_c 7.116
_cell_angle_alpha 90.00
_cell_angle_beta 91.28
_cell_angle_gamma 90.00
loop_
_space_group_symop_operation_xyz
'x,y,z'
'-x,-y,-z'
'-x,y,-z'
'x,-y,z'
'x+1/2,y+1/2,z'
'-x+1/2,-y+1/2,-z'
'-x+1/2,y+1/2,-z'
'x+1/2,-y+1/2,z'
loop_
_atom_site_label
_atom_site_fract_x
_atom_site_fract_y
_atom_site_fract_z
_atom_site_occupancy
Tb1 0.000 0.176 0.000 1
Tb2 0.000 0.248 0.500 1
Tb3 0.165 0.500 0.879 1
Ho1 0.242 0.500 0.384 1
Pt1 0.060 0.000 0.307 1
Pt2 0.242 0.263 0.218 1
# E_form in eV/atom: -1.013
# Magnetic moment in μB per cell: 0.00

(2)
# TlFe2Rh PBE optimized geometry
data_TlFe2Rh
_space_group_name_H-M_alt 'C m m m'
_space_group_IT_number 65
_space_group_name_Hall '-C 2 2'
_cell_length_a 5.458
_cell_length_b 7.798
_cell_length_c 2.908
_cell_angle_alpha 90.00
_cell_angle_beta 90.00
_cell_angle_gamma 90.00
loop_
_atom_site_label
_atom_site_fract_x
_atom_site_fract_y
_atom_site_fract_z
_atom_site_occupancy
Tl1 0.000 0.000 0.000 1
Fe1 0.250 0.250 0.500 1
Rh1 0.000 0.500 0.000 1
# E_form in eV/atom: 0.372
# Magnetic moment in μB per cell: 12.57
# Relative energy among the computed polymorphs in eV per atom: 0.143

(3)
# Mg2ZnIr PBE optimized geometry
data_Mg2ZnIr
_space_group_name_H-M_alt 'P 4/m m m'
_space_group_IT_number 123
_space_group_name_Hall '-P 4 2'
_cell_length_a 4.091
_cell_length_b 4.091
_cell_length_c 3.830
_cell_angle_alpha 90.00
_cell_angle_beta 90.00
_cell_angle_gamma 90.00
loop_
_atom_site_label
_atom_site_fract_x
_atom_site_fract_y
_atom_site_fract_z
_atom_site_occupancy
Mg1 0.000 0.500 0.000 1
Zn1 0.000 0.000 0.500 1
Ir1 0.500 0.500 0.500 1
# E_form in eV/atom: -0.247
# Magnetic moment in μB per cell: 0.00

(4)
# MnSb2Mo PBE optimized geometry
data_MnSb2Mo
_space_group_name_H-M_alt 'F m -3 m'
_space_group_IT_number 225
_space_group_name_Hall '-F 4 2 3'
_cell_length_a 6.590
_cell_length_b 6.590
_cell_length_c 6.590
_cell_angle_alpha 90.00
_cell_angle_beta 90.00
_cell_angle_gamma 90.00
loop_
_atom_site_label
_atom_site_fract_x
_atom_site_fract_y
_atom_site_fract_z
_atom_site_occupancy
Mn1 0.000 0.000 0.000 1
Sb1 0.250 0.250 0.250 1
Mo1 0.000 0.000 0.500 1
# Magnetic moment in μB per cell: 6.76
# Relative energy among the computed polymorphs in eV per atom: 0.232

(5)
# LaSBr PBE optimized geometry
data_LaSBr
_space_group_name_H-M_alt 'F d d 2'
_space_group_IT_number 43
_space_group_name_Hall 'F 2 -2d'
_cell_length_a 11.748
_cell_length_b 13.827
_cell_length_c 8.977
_cell_angle_alpha 90.00
_cell_angle_beta 90.00
_cell_angle_gamma 90.00
loop_
_atom_site_label
_atom_site_fract_x
_atom_site_fract_y
_atom_site_fract_z
_atom_site_occupancy
La1 0.061 0.234 0.000 1
S1 0.017 0.129 0.728 1
Br1 0.079 0.125 0.299 1
# Magnetic moment in μB per cell: 0.00
# Uncorrected energy in eV per atom: -5.708